Computed, not measured: a geometry-optimized CaMgRu structure at the PBEsol level of DFT.

a = 4.6288 Å, b = 4.6288 Å, c = 4.6288 Å
α = 60.00°, β = 60.00°, γ = 60.00°
Each line ends with the local moment (μB).
Fractional coordinates of all 3 atoms:
Ca 0.2500 0.2500 0.2500  0.00
Mg 0.0000 0.0000 0.0000  -0.01
Ru 0.5000 0.5000 0.5000  0.36

## Properties
- energy of formation from the pure elements (eV per atom) = 1.183

---

Computed, not measured: a geometry-optimized NbBi2I structure at the PBEsol level of DFT.

a = 6.7833 Å, b = 6.7833 Å, c = 8.5934 Å
α = 113.25°, β = 113.25°, γ = 90.00°
Fractional coordinates of all 8 atoms:
I 0.2500 0.7500 0.5000
I 0.0000 0.0000 0.0000
Nb 0.7500 0.2500 0.5000
Nb 0.5000 0.5000 0.0000
Bi 0.7874 0.3750 0.2500
Bi 0.4626 0.8750 0.2500
Bi 0.6250 0.5374 0.7500
Bi 0.1250 0.2126 0.7500

## Properties
- ΔE_f (raw) (meV/atom) = 721.7

---

Computed, not measured: a geometry-optimized YAg3 structure at the PBEsol level of DFT.

a = 5.3640 Å, b = 5.3640 Å, c = 5.3640 Å
α = 90.00°, β = 90.00°, γ = 90.00°
Fractional coordinates of all 8 atoms:
Y 0.0000 0.0000 0.0000
Y 0.5000 0.5000 0.5000
Ag 0.0000 0.2500 0.5000
Ag 0.0000 0.7500 0.5000
Ag 0.2500 0.5000 0.0000
Ag 0.5000 0.0000 0.2500
Ag 0.5000 0.0000 0.7500
Ag 0.7500 0.5000 0.0000

## Properties
- energy of formation from the pure elements (eV per atom) = -0.265

---

Computed, not measured: a geometry-optimized Sc4Hg5 structure at the PBEsol level of DFT.

a = 6.0121 Å, b = 8.5232 Å, c = 8.5232 Å
α = 120.00°, β = 90.00°, γ = 90.00°
Fractional coordinates of all 18 atoms:
Hg 0.7500 0.0000 0.6964
Hg 0.7500 0.6964 0.0000
Hg 0.7500 0.3036 0.3036
Hg 0.2500 0.0000 0.3036
Hg 0.2500 0.3036 0.0000
Hg 0.2500 0.6964 0.6964
Hg 0.0000 0.3333 0.6667
Hg 0.5000 0.6667 0.3333
Hg 0.0000 0.6667 0.3333
Hg 0.5000 0.3333 0.6667
Sc 0.0000 0.0000 0.0000
Sc 0.5000 0.0000 0.0000
Sc 0.7500 0.0000 0.3608
Sc 0.7500 0.3608 0.0000
Sc 0.7500 0.6392 0.6392
Sc 0.2500 0.0000 0.6392
Sc 0.2500 0.6392 0.0000
Sc 0.2500 0.3608 0.3608

## Properties
- energy of formation from the pure elements (eV per atom) = -0.441

---

Number 1: M_tot 0.12 μB/atom. Number 2: M_tot 0.00 μB/atom. Number 3: M_tot 0.00 μB/atom. Number 4: M_tot 0.00 μB/atom.